A plane-wave DFT calculation with PBE with a Hubbard U was carried out for a geometry-optimized Zn2FeO structure.

POSCAR file:
```
Zn2FeO
1.0
1.6088 -3.7952 -0.3044
0.0790 -2.4824 3.3039
-2.4699 -3.3105 0.1572
Zn O Fe
2 1 1
direct
0.7500 0.7500 0.7500
0.2500 0.2500 0.2500
0.0000 0.0000 0.0000
0.5000 0.5000 0.5000
```

Summary:
D(E_F) = 0.00 states/eV/atom
M_tot = 2.0 μB per cell
V = 12.483 A^3/atom
VASP energy = -2.822 eV/atom
theoretical density = 6.74 Mg/m³